The following is a DFT calculation (PBE with a Hubbard U) of WN2OF after structural relaxation.

a = 4.0667 Å, b = 4.0667 Å, c = 3.8430 Å
α = 90.00°, β = 90.00°, γ = 90.00°
Fractional coordinates of all 5 atoms:
W 0.0000 0.0000 0.0000
N 0.0000 0.5000 0.0000
N 0.5000 0.0000 0.0000
O 0.0000 0.0000 0.5000
F 0.5000 0.5000 0.5000

Fermi-level density of states ... 0.89 states/eV per atom
Raw total energy ... -29.96 eV per cell
Volume ... 63.6 Å³ per cell
Total magnetization ... 0.567 μB per atom